#a
A geometry-optimized NpOsRu2 structure, computed with GGA-PBE.

Lattice parameters (Å, degrees): 3.9900 3.9900 3.9791 90.00 90.00 90.00
Space group P4/mmm (No. 123)
Symmetry-distinct sites (fractional):
Np 0.0000 0.0000 0.0000 x1
Os 0.5000 0.5000 0.0000 x1
Ru 0.0000 0.5000 0.5000 x2

#b
A geometry-optimized NpOsRu2 structure, computed with GGA-PBE.

Lattice parameters (Å, degrees): 2.7433 2.7433 28.7960 90.00 90.00 120.00
Space group R-3m (No. 166, hexagonal axes)
Symmetry-distinct sites (fractional):
Np 0.0000 0.0000 0.0000 x3
Os 0.0000 0.0000 0.5000 x3
Ru 0.0000 0.0000 0.2420 x6

Energies relative to the minimum, meV per atom: #a 0; #b 283